(1)
# ScB2Cl, relaxed, DFT PBEsol
data_ScB2Cl
_space_group_name_H-M_alt 'I -4 2 d'
_space_group_IT_number 122
_space_group_name_Hall 'I -4 2bw'
_cell_length_a 5.712
_cell_length_b 5.712
_cell_length_c 6.504
_cell_angle_alpha 90.00
_cell_angle_beta 90.00
_cell_angle_gamma 90.00
loop_
_atom_site_label
_atom_site_fract_x
_atom_site_fract_y
_atom_site_fract_z
Sc1 0.000 0.000 0.000
B1 0.181 0.750 0.625
Cl1 0.000 0.000 0.500
# Fermi-level density of states   3.2 states/eV per cell
# ΔE_f (raw)   0.976 eV/atom

***

(2)
# Sc4BCl6, relaxed, DFT PBEsol
data_Sc4BCl6
_space_group_name_H-M_alt 'P b a m'
_space_group_IT_number 55
_space_group_name_Hall '-P 2 2ab'
_cell_length_a 11.746
_cell_length_b 12.157
_cell_length_c 3.545
_cell_angle_alpha 90.00
_cell_angle_beta 90.00
_cell_angle_gamma 90.00
loop_
_atom_site_label
_atom_site_fract_x
_atom_site_fract_y
_atom_site_fract_z
Sc1 0.106 0.084 0.000
Sc2 0.125 0.853 0.500
B1 0.000 0.000 0.500
Cl1 0.020 0.742 0.000
Cl2 0.232 0.183 0.500
Cl3 0.242 0.431 0.000
# Fermi-level density of states   8.6 states/eV per cell
# ΔE_f (raw)   -1.791 eV/atom

***

(3)
# Sc7BCl12, relaxed, DFT PBEsol
data_Sc7BCl12
_space_group_name_H-M_alt 'R -3'
_space_group_IT_number 148
_space_group_name_Hall '-R 3'
_cell_length_a 12.9199
_cell_length_b 12.9199
_cell_length_c 8.7387
_cell_angle_alpha 90.00
_cell_angle_beta 90.00
_cell_angle_gamma 120.00
loop_
_atom_site_label
_atom_site_fract_x
_atom_site_fract_y
_atom_site_fract_z
Sc1 0.0000 0.0000 0.0000
Sc2 0.0455 0.1649 0.3490
B1 0.0000 0.0000 0.5000
Cl1 0.0229 0.5866 0.1634
Cl2 0.0501 0.1799 0.8360
# Fermi-level density of states   34.9 states/eV per cell
# ΔE_f (raw)   -1.878 eV/atom

***

(4)
# B2SeCl, relaxed, DFT PBEsol
data_B2SeCl
_space_group_name_H-M_alt 'F m -3 m'
_space_group_IT_number 225
_space_group_name_Hall '-F 4 2 3'
_cell_length_a 5.926
_cell_length_b 5.926
_cell_length_c 5.926
_cell_angle_alpha 90.00
_cell_angle_beta 90.00
_cell_angle_gamma 90.00
loop_
_atom_site_label
_atom_site_fract_x
_atom_site_fract_y
_atom_site_fract_z
B1 0.250 0.250 0.250
Se1 0.000 0.000 0.000
Cl1 0.000 0.000 0.500
# Distance to the lowest polymorph of the same formula   457 meV per atom
# Fermi-level density of states   6.6 states/eV per cell
# ΔE_f (raw)   1.661 eV/atom

***

- Look up the ΔE_f (raw) of the fourth one.
  1.661 eV/atom

***

- Which of these has the lowest ΔE_f (raw)?
  Sc7BCl12